# 1
DFT (PBE) results for crystalline Co3Ag at its relaxed geometry.

Unit cell a=2.627 b=2.627 c=8.530 alpha=90.00 beta=90.00 gamma=120.00
Each line ends with the local moment (μB).
Element x y z (fractional)
Ag (0.000, 0.000, 0.000)  -0.01
Co (0.000, 0.000, 0.500)  1.65
Co (0.333, 0.667, 0.276)  1.65
Co (0.333, 0.667, 0.724)  1.65

## Properties
Calculated total energy, eV/cell: -23.13
E_form, kJ/mol of atoms: 25.0
Symmetry: P-6m2
Crystal system: hexagonal

=====

# 2
DFT (PBE) results for crystalline Co3Ag at its relaxed geometry.

Unit cell a=7.732 b=3.456 c=9.770 alpha=90.00 beta=168.66 gamma=90.00
Each line ends with the local moment (μB).
Element x y z (fractional)
Ag (0.000, 0.000, 0.000)  0.02
Co (0.378, 0.500, 0.087)  1.76
Co (0.500, 0.000, 0.000)  1.74
Co (0.622, 0.500, 0.913)  1.76

## Properties
Calculated total energy, eV/cell: -23.06
E_form, kJ/mol of atoms: 26.7
Symmetry: P2/m
Crystal system: monoclinic

=====

# 3
DFT (PBE) results for crystalline Co3Ag at its relaxed geometry.

Unit cell a=4.173 b=4.173 c=4.173 alpha=60.00 beta=60.00 gamma=60.00
Each line ends with the local moment (μB).
Element x y z (fractional)
Ag (0.000, 0.000, 0.000)  0.02
Co (0.250, 0.250, 0.250)  1.77
Co (0.500, 0.500, 0.500)  1.95
Co (0.750, 0.750, 0.750)  1.77

## Properties
Calculated total energy, eV/cell: -22.45
E_form, kJ/mol of atoms: 41.4
Symmetry: Fm-3m
Crystal system: cubic

=====

# 4
DFT (PBE) results for crystalline CoAg at its relaxed geometry.

Unit cell a=4.363 b=4.363 c=4.363 alpha=60.00 beta=60.00 gamma=60.00
Each line ends with the local moment (μB).
Element x y z (fractional)
Ag (0.000, 0.000, 0.000)  -0.01
Ag (0.750, 0.750, 0.750)  -0.01
Co (0.250, 0.250, 0.250)  1.85
Co (0.500, 0.500, 0.500)  1.85

## Properties
Calculated total energy, eV/cell: -17.91
E_form, kJ/mol of atoms: 48.3
Symmetry: Fd-3m
Crystal system: cubic

=====

# 5
DFT (PBE) results for crystalline CoAg at its relaxed geometry.

Unit cell a=2.741 b=7.976 c=2.769 alpha=90.00 beta=90.00 gamma=80.11
Each line ends with the local moment (μB).
Element x y z (fractional)
Ag (0.580, 0.840, 0.250)  -0.01
Ag (0.420, 0.160, 0.750)  -0.01
Co (0.792, 0.415, 0.250)  1.71
Co (0.208, 0.585, 0.750)  1.71

## Properties
Calculated total energy, eV/cell: -18.83
E_form, kJ/mol of atoms: 26.2
Symmetry: Cmcm
Crystal system: orthorhombic

=====

# 6
DFT (PBE) results for crystalline Co7Ag at its relaxed geometry.

Unit cell a=5.112 b=5.112 c=5.112 alpha=60.00 beta=60.00 gamma=60.00
Each line ends with the local moment (μB).
Element x y z (fractional)
Co (0.500, 0.000, 0.000)  1.73
Co (0.000, 0.000, 0.500)  1.73
Co (0.500, 0.000, 0.500)  1.73
Co (0.000, 0.500, 0.000)  1.73
Co (0.500, 0.500, 0.000)  1.73
Co (0.000, 0.500, 0.500)  1.73
Co (0.500, 0.500, 0.500)  1.68
Ag (0.000, 0.000, 0.000)  0.07

## Properties
Calculated total energy, eV/cell: -50.78
E_form, kJ/mol of atoms: 21.9
Symmetry: Fm-3m
Crystal system: cubic

=====

# 7
DFT (PBE) results for crystalline Co3Ag at its relaxed geometry.

Unit cell a=4.530 b=4.530 c=2.638 alpha=90.00 beta=90.00 gamma=109.76
Each line ends with the local moment (μB).
Element x y z (fractional)
Ag (0.000, 0.000, 0.000)  0.04
Co (0.000, 0.500, 0.500)  1.76
Co (0.500, 0.000, 0.500)  1.76
Co (0.500, 0.500, 0.000)  1.76

## Properties
Calculated total energy, eV/cell: -22.65
E_form, kJ/mol of atoms: 36.6
Symmetry: Cmmm
Crystal system: orthorhombic

=====

# 8
DFT (PBE) results for crystalline CoAg at its relaxed geometry.

Unit cell a=9.143 b=9.143 c=9.143 alpha=17.16 beta=17.16 gamma=17.16
Each line ends with the local moment (μB).
Element x y z (fractional)
Ag (0.006, 0.006, 0.006)  -0.02
Ag (0.244, 0.244, 0.244)  -0.02
Co (0.492, 0.492, 0.492)  1.68
Co (0.758, 0.758, 0.758)  1.68

## Properties
Calculated total energy, eV/cell: -18.72
E_form, kJ/mol of atoms: 28.8
Symmetry: R-3m
Crystal system: trigonal

=====

# 9
DFT (PBE) results for crystalline CoAg5 at its relaxed geometry.

Unit cell a=5.391 b=5.391 c=5.391 alpha=60.00 beta=60.00 gamma=60.00
Each line ends with the local moment (μB).
Element x y z (fractional)
Co (0.000, 0.000, 0.000)  1.96
Ag (0.876, 0.375, 0.375)  0.00
Ag (0.750, 0.750, 0.750)  0.00
Ag (0.375, 0.876, 0.375)  0.00
Ag (0.375, 0.375, 0.375)  0.00
Ag (0.375, 0.375, 0.876)  0.00

## Properties
Calculated total energy, eV/cell: -18.33
ΔE to the lowest computed polymorph, eV/f.u.: 1.64
E_form, kJ/mol of atoms: 48.7
Symmetry: F-43m
Crystal system: cubic

=====

# 10
DFT (PBE) results for crystalline CoAg at its relaxed geometry.

Unit cell a=2.702 b=2.702 c=3.986 alpha=90.00 beta=90.00 gamma=90.00
Each line ends with the local moment (μB).
Element x y z (fractional)
Ag (0.000, 0.000, 0.000)  0.01
Co (0.500, 0.500, 0.500)  1.82

## Properties
Calculated total energy, eV/cell: -8.99
E_form, kJ/mol of atoms: 46.8
Symmetry: P4/mmm
Crystal system: tetragonal

=====

# 11
DFT (PBE) results for crystalline Co3Ag at its relaxed geometry.

Unit cell a=4.911 b=4.911 c=4.911 alpha=117.07 beta=117.07 gamma=117.07
Each line ends with the local moment (μB).
Element x y z (fractional)
Ag (0.000, 0.000, 0.000)  -0.01
Co (0.000, 0.500, 0.500)  1.78
Co (0.500, 0.000, 0.500)  1.78
Co (0.500, 0.500, 0.000)  1.78

## Properties
Calculated total energy, eV/cell: -22.40
E_form, kJ/mol of atoms: 42.7
Symmetry: R-3m
Crystal system: trigonal

=====

# 12
DFT (PBE) results for crystalline CoAg2 at its relaxed geometry.

Unit cell a=6.431 b=6.431 c=6.431 alpha=155.13 beta=155.13 gamma=35.46
Each line ends with the local moment (μB).
Element x y z (fractional)
Ag (0.991, 0.991, 0.000)  0.00
Ag (0.675, 0.675, 0.000)  0.00
Co (0.333, 0.333, 0.000)  1.82

## Properties
Calculated total energy, eV/cell: -11.74
ΔE to the lowest computed polymorph, eV/f.u.: 0.25
E_form, kJ/mol of atoms: 34.5
Symmetry: I4/mmm
Crystal system: tetragonal

=====

no.,DOS(E_F) (states/eV/f.u.)
1,4.2
2,4.4
3,4.7
4,2.6
5,1.3
6,9.7
7,5.2
8,1.8
9,7.6
10,2.1
11,6.2
12,3.3